Computed, not measured: a geometry-optimized Ba2Co3Br2O4 structure at the PBE+U level of DFT.

Properties
Calculated volume, Å³/atom: 20.81
E, eV/atom: -5.442
Crystal system: tetragonal

abc: 8.190 8.190 8.190
angles: 139.57 139.57 58.50
Each line ends with the local moment (μB).
Element x y z (fractional)
O1 0.752 0.248 0.000  0.18
Br1 0.750 0.250 0.500  0.00
Co1 0.000 0.000 0.000  2.68
Co2 0.500 0.000 0.500  2.70
O2 0.248 0.752 0.000  0.18
Co3 0.000 0.500 0.500  2.70
Br2 0.250 0.750 0.500  0.00
Ba1 0.368 0.368 0.000  0.01
O3 0.752 0.752 0.505  0.18
O4 0.248 0.248 0.495  0.18
Ba2 0.632 0.632 0.000  0.01